Here is NaAsBr6 after structural relaxation from Alexandria. Energies are from GGA-PBE.

Lattice parameters (Å, degrees): 6.9949 8.1960 7.0171 54.27 71.57 57.22
Closest atoms and distances in Å follow each position.
Element x y z (fractional)
Na  0.0000  0.0000  0.0000  6 Br 3.01-3.02
Br  0.1933  0.4927  0.3144  1 As 2.54
Br  0.8067  0.1929  0.3144  1 As 2.54
Br  0.8067  0.5073  0.6856  1 As 2.54
Br  0.1933  0.8071  0.6856  1 As 2.54
As  0.5000  0.5000  0.0000  6 Br 2.54
Br  0.5107  0.8052  0.0000  1 As 2.54
Br  0.4893  0.1948  0.0000  1 As 2.54

Results
E_form (uncorrected)   -0.470 eV per atom
Space-group type   C2/m, No. 12
Spin magnetization   0.000 μB per atom